Record 1
Compound: CsHo4
Source: Alexandria via LeMat-Bulk
Functional: PBE
Structure: relaxed

Cell: 5.6407 5.6407 5.6407 Å, 90.00 90.00 90.00°
Closest atoms and distances in Å follow each position.
Space group Pm-3m (No. 221)
Inequivalent atoms, fractional coordinates:
Cs 0.0000 0.0000 0.0000 x1  6 Ho 2.82
Ho 0.0000 0.0000 0.5000 x3  2 Cs 2.82
Ho 0.5000 0.5000 0.5000 x1  12 Ho 3.99

- VASP energy (eV/atom) = -2.71
- calculated formation energy (meV/atom) = 1121


Record 2
Compound: PaZnInTc
Source: Alexandria via LeMat-Bulk
Functional: PBE
Structure: relaxed

Cell: 6.7998 6.7998 6.7998 Å, 90.00 90.00 90.00°
Closest atoms and distances in Å follow each position.
Space group F-43m (No. 216)
Inequivalent atoms, fractional coordinates:
Pa 0.0000 0.0000 0.0000 x4  4 Tc 2.94, 4 Zn 2.94
Zn 0.2500 0.2500 0.2500 x4  4 Pa 2.94, 4 In 2.94
In 0.0000 0.0000 0.5000 x4  4 Zn 2.94, 4 Tc 2.94
Tc 0.2500 0.2500 0.7500 x4  4 In 2.94, 4 Pa 2.94

- VASP energy (eV/atom) = -5.89
- calculated formation energy (meV/atom) = 74


Copy entry 2 word for word.
Compound: PaZnInTc
Source: Alexandria via LeMat-Bulk
Functional: PBE
Structure: relaxed

Cell: 6.7998 6.7998 6.7998 Å, 90.00 90.00 90.00°
Closest atoms and distances in Å follow each position.
Space group F-43m (No. 216)
Inequivalent atoms, fractional coordinates:
Pa 0.0000 0.0000 0.0000 x4  4 Tc 2.94, 4 Zn 2.94
Zn 0.2500 0.2500 0.2500 x4  4 Pa 2.94, 4 In 2.94
In 0.0000 0.0000 0.5000 x4  4 Zn 2.94, 4 Tc 2.94
Tc 0.2500 0.2500 0.7500 x4  4 In 2.94, 4 Pa 2.94

- VASP energy (eV/atom) = -5.89
- calculated formation energy (meV/atom) = 74


Q: Which formula does entry 1 have?
A: CsHo4


Q: Among the records above, which one has the lowest VASP energy?
A: PaZnInTc


Q: What is the formula in the first record?
A: CsHo4